## ReRh2WF (GGA+U)

Data for crystalline ReRh2WF at its relaxed geometry.

The calculation puts the electronic total energy at -31.54 eV/f.u. As for the total moment: 0.0 Bohr magnetons per cell.

Cell lengths 4.2328, 4.2328, 4.0923 Å; angles 90.00, 90.00, 90.00 degrees
With the nearest neighbours (Å) after each atom.
Space group P4/mmm (No. 123)
Unique sites:
Re 0.0000 0.0000 0.0000 x1  8 Rh 2.94, 4 W 2.99
Rh 0.0000 0.5000 0.5000 x2  2 F 2.12
W 0.5000 0.5000 0.0000 x1  2 F 2.05
F 0.5000 0.5000 0.5000 x1  2 W 2.05, 4 Rh 2.12